Record 1
The following is a GGA-PBE calculation of Fe2Ir6Rh after structural relaxation, from Alexandria via LeMat-Bulk.

Cell lengths 4.6917, 8.6564, 7.2813 Å; angles 119.39, 102.11, 79.71 degrees
Each line ends with the local moment (μB).
Sites, in units of the cell vectors:
Ir 0.5253 0.6391 0.4756  -0.12
Ir 0.5290 0.9698 0.8067  -0.11
Ir 0.4710 0.0302 0.1933  -0.11
Ir 0.9748 0.8609 0.0244  -0.12
Ir 0.2517 0.5836 0.0805  -0.01
Rh 0.2500 0.2500 0.7500  0.09
Fe 0.9694 0.1949 0.3568  2.49
Rh 0.7500 0.7500 0.2500  0.09
Ir 0.7516 0.0836 0.5806  -0.01
Ir 0.0291 0.4699 0.3068  -0.11
Ir 0.4747 0.3609 0.5244  -0.12
Fe 0.5307 0.3051 0.1433  2.49
Fe 0.0306 0.8051 0.6432  2.49
Ir 0.0252 0.1391 0.9756  -0.12
Fe 0.4693 0.6949 0.8567  2.49
Ir 0.9709 0.5301 0.6932  -0.11
Ir 0.2484 0.9164 0.4194  -0.01
Ir 0.7483 0.4164 0.9195  -0.01

Summary:
E_form, eV/f.u.: -0.29
SG: P-1
Density of states at the Fermi level, states/eV/cell: 19.55

=====

Record 2
The following is a GGA-PBE calculation of AcSc after structural relaxation, from Alexandria via LeMat-Bulk.

Cell lengths 4.0738, 4.0738, 4.0738 Å; angles 90.00, 90.00, 90.00 degrees
Sites, in units of the cell vectors:
Sc 0.5000 0.5000 0.5000
Ac 0.0000 0.0000 0.0000

Summary:
E_form, eV/f.u.: 0.19
SG: Pm-3m
Offset from the most stable computed form, eV per atom: 0.000
Density of states at the Fermi level, states/eV/cell: 2.77

=====

Record 3
The following is a GGA-PBE calculation of Na2LiTl after structural relaxation, from Alexandria via LeMat-Bulk.

Cell lengths 8.5328, 8.5328, 6.7699 Å; angles 50.94, 50.94, 90.00 degrees
Sites, in units of the cell vectors:
Li 0.5000 0.5000 0.0000
Na 0.1375 0.6250 0.2500
Na 0.8750 0.8625 0.7500
Na 0.3750 0.3875 0.7500
Tl 0.0000 0.0000 0.0000
Tl 0.7500 0.2500 0.5000
Na 0.6125 0.1250 0.2500
Li 0.2500 0.7500 0.5000

Summary:
E_form, eV/f.u.: 0.09
SG: I-42d
Offset from the most stable computed form, eV per atom: 0.120
Density of states at the Fermi level, states/eV/cell: 2.53

=====

Record 4
The following is a GGA-PBE calculation of LaTl2V after structural relaxation, from Alexandria via LeMat-Bulk.

Cell lengths 5.2754, 5.2754, 5.2754 Å; angles 60.00, 60.00, 60.00 degrees
Each line ends with the local moment (μB).
Sites, in units of the cell vectors:
La 0.5000 0.5000 0.5000  0.07
V 0.0000 0.0000 0.0000  2.81
Tl 0.7500 0.7500 0.7500  0.00
Tl 0.2500 0.2500 0.2500  0.00

Summary:
E_form, eV/f.u.: 0.30
SG: Fm-3m
Offset from the most stable computed form, eV per atom: 0.000
Density of states at the Fermi level, states/eV/cell: 2.71

=====

Record 5
The following is a GGA-PBE calculation of SrCaCo2 after structural relaxation, from Alexandria via LeMat-Bulk.

Cell lengths 6.5824, 6.5824, 4.5777 Å; angles 69.65, 69.65, 33.29 degrees
Each line ends with the local moment (μB).
Sites, in units of the cell vectors:
Sr 0.4820 0.4820 0.5179  -0.05
Co 0.0875 0.0875 0.9124  1.40
Co 0.6864 0.6864 0.8137  1.45
Ca 0.2441 0.2441 0.2559  -0.07

Summary:
E_form, eV/f.u.: 1.16
SG: Imm2
Offset from the most stable computed form, eV per atom: 0.081
Density of states at the Fermi level, states/eV/cell: 4.52

=====

Record 6
The following is a GGA-PBE calculation of Pr8P3PdSe4 after structural relaxation, from Alexandria via LeMat-Bulk.

Cell lengths 8.4758, 8.5182, 8.4760 Å; angles 119.84, 120.00, 90.00 degrees
Sites, in units of the cell vectors:
Pr 0.7437 0.7310 0.4873
Se 0.5000 0.0000 0.5000
Pr 0.2492 0.7376 0.4983
Pr 0.7393 0.7375 0.9884
Se 0.5000 0.0000 0.0000
P 0.5000 0.5000 0.5000
Se 0.0000 0.0000 0.5000
Pd 0.0000 0.5000 0.0000
P 0.0000 0.5000 0.5000
Pr 0.7509 0.2625 0.0116
Pr 0.2491 0.7375 0.9884
Pr 0.2563 0.2690 0.5127
P 0.5000 0.5000 0.0000
Pr 0.2607 0.2625 0.0116
Pr 0.7508 0.2624 0.5017
Se 0.0000 0.0000 0.0000

Summary:
SG: R-3m
Raw formation energy, eV per formula unit: -25.89
Density of states at the Fermi level, states/eV/cell: 7.49